[1]
DFT (PBE-GGA) results for a relaxed SrMn2Fe crystal.

Cell lengths 4.200, 3.148, 6.001 Å; angles 77.31, 90.00, 90.00 degrees
Element x y z (fractional)
1 Fe 0.500 0.750 0.750
2 Mn 0.000 0.967 0.868
3 Mn 0.000 0.533 0.632
4 Sr 0.500 0.250 0.250

## Properties
- DFT formation energy (eV per atom) = 0.78
- total energy (eV per atom) = -6.340

---

[2]
DFT (PBE-GGA) results for a relaxed AlTeIrN2 crystal.

Cell lengths 3.859, 3.859, 5.888 Å; angles 90.00, 90.00, 90.00 degrees
Element x y z (fractional)
1 Ir 0.000 0.000 0.000
2 Te 0.000 0.000 0.500
3 Al 0.500 0.500 0.500
4 N 0.000 0.500 0.000
5 N 0.500 0.000 0.000

## Properties
- energy relative to the lowest polymorph listed for this composition (kJ/mol of formula units) = 0.0
- total energy (eV per atom) = -5.659

---

[3]
DFT (PBE-GGA) results for a relaxed BC3 crystal.

Cell lengths 6.961, 7.056, 7.056 Å; angles 159.55, 141.98, 43.62 degrees
Element x y z (fractional)
1 B 0.987 0.343 0.643
2 B 0.493 0.170 0.323
3 B 0.135 0.781 0.354
4 C 0.608 0.295 0.313
5 C 0.117 0.120 0.997
6 C 0.002 0.002 0.000
7 C 0.625 0.958 0.667
8 C 0.515 0.839 0.676
9 C 0.996 0.659 0.337
10 C 0.641 0.618 0.023
11 C 0.503 0.500 0.003
12 C 0.128 0.465 0.663

## Properties
- energy relative to the lowest polymorph listed for this composition (kJ/mol of formula units) = 23.0
- DFT formation energy (eV per atom) = 0.30
- total energy (eV per atom) = -8.287

---

[4]
DFT (PBE-GGA) results for a relaxed LaNiRh4 crystal.

Cell lengths 3.929, 6.726, 7.674 Å; angles 90.00, 90.00, 90.00 degrees
Element x y z (fractional)
1 La 0.000 0.625 0.750
2 La 0.000 0.375 0.250
3 Ni 0.000 0.225 0.750
4 Ni 0.000 0.775 0.250
5 Rh 0.000 0.000 0.500
6 Rh 0.000 0.000 0.000
7 Rh 0.500 0.959 0.750
8 Rh 0.500 0.041 0.250
9 Rh 0.500 0.712 0.051
10 Rh 0.500 0.288 0.949
11 Rh 0.500 0.712 0.449
12 Rh 0.500 0.288 0.551

## Properties
- energy relative to the lowest polymorph listed for this composition (kJ/mol of formula units) = 0.0
- DFT formation energy (eV per atom) = -0.17
- total energy (eV per atom) = -6.857

---

[5]
DFT (PBE-GGA) results for a relaxed InCo2Pt crystal.

Cell lengths 4.710, 4.710, 4.710 Å; angles 131.22, 131.22, 71.46 degrees
Element x y z (fractional)
1 Co 0.000 0.000 0.000
2 Co 0.250 0.750 0.500
3 In 0.500 0.500 0.000
4 Pt 0.750 0.250 0.500

## Properties
- DFT formation energy (eV per atom) = -0.02
- total energy (eV per atom) = -5.768

---

[6]
DFT (PBE-GGA) results for a relaxed K2NpCl3F3 crystal.

Cell lengths 3.750, 7.728, 7.728 Å; angles 120.00, 90.00, 90.00 degrees
Element x y z (fractional)
1 K 0.500 0.333 0.667
2 K 0.500 0.667 0.333
3 Np 0.000 0.000 0.000
4 Cl 0.000 0.000 0.362
5 Cl 0.000 0.638 0.638
6 Cl 0.000 0.362 0.000
7 F 0.500 0.811 0.000
8 F 0.500 0.189 0.189
9 F 0.500 0.000 0.811

## Properties
- total energy (eV per atom) = -5.406

---

[7]
DFT (PBE-GGA) results for a relaxed PaTlPbO6 crystal.

Cell lengths 5.130, 5.130, 10.472 Å; angles 90.00, 90.00, 90.00 degrees
Element x y z (fractional)
1 Pa 0.500 0.500 0.168
2 Pa 0.000 0.000 0.668
3 Tl 0.500 0.500 0.501
4 Tl 0.000 0.000 0.001
5 Pb 0.500 0.500 0.833
6 Pb 0.000 0.000 0.333
7 O 0.189 0.811 0.501
8 O 0.811 0.189 0.501
9 O 0.311 0.311 0.001
10 O 0.689 0.689 0.001
11 O 0.200 0.800 0.173
12 O 0.800 0.200 0.173
13 O 0.300 0.300 0.673
14 O 0.700 0.700 0.673
15 O 0.802 0.198 0.825
16 O 0.198 0.802 0.825
17 O 0.698 0.698 0.325
18 O 0.302 0.302 0.325

## Properties
- total energy (eV per atom) = -6.844

---

[8]
DFT (PBE-GGA) results for a relaxed CeThSeN crystal.

Cell lengths 4.182, 4.182, 10.162 Å; angles 90.00, 90.00, 90.00 degrees
Element x y z (fractional)
1 Ce 0.000 0.000 0.500
2 Ce 0.500 0.500 0.500
3 Th 0.000 0.500 0.890
4 Th 0.500 0.000 0.110
5 Se 0.500 0.000 0.718
6 Se 0.000 0.500 0.282
7 N 0.500 0.500 0.000
8 N 0.000 0.000 0.000

## Properties
- total energy (eV per atom) = -7.773

---

[9]
DFT (PBE-GGA) results for a relaxed CdFe2Cl crystal.

Cell lengths 4.656, 3.837, 3.837 Å; angles 90.00, 90.00, 90.00 degrees
Element x y z (fractional)
1 Cl 0.500 0.000 0.500
2 Fe 0.000 0.000 0.000
3 Fe 0.000 0.500 0.500
4 Cd 0.500 0.500 0.000

## Properties
- energy relative to the lowest polymorph listed for this composition (kJ/mol of formula units) = 217.4
- total energy (eV per atom) = -4.277

---

[10]
DFT (PBE-GGA) results for a relaxed Ac2Si3Au5 crystal.

Cell lengths 6.422, 8.916, 8.916 Å; angles 70.42, 68.89, 68.89 degrees
Element x y z (fractional)
1 Ac 0.129 0.630 0.113
2 Ac 0.629 0.113 0.630
3 Ac 0.871 0.370 0.887
4 Ac 0.371 0.887 0.370
5 Si 0.380 0.486 0.754
6 Si 0.880 0.754 0.486
7 Si 0.620 0.514 0.246
8 Si 0.120 0.246 0.514
9 Si 0.250 0.000 0.000
10 Si 0.750 0.000 0.000
11 Au 0.386 0.240 0.989
12 Au 0.886 0.989 0.240
13 Au 0.614 0.760 0.011
14 Au 0.114 0.011 0.760
15 Au 0.520 0.730 0.730
16 Au 0.480 0.270 0.270
17 Au 0.750 0.500 0.500
18 Au 0.250 0.500 0.500
19 Au 0.980 0.270 0.270
20 Au 0.020 0.730 0.730

## Properties
- energy relative to the lowest polymorph listed for this composition (kJ/mol of formula units) = 0.0
- total energy (eV per atom) = -4.702